The following is a DFT calculation (PBE-GGA) of crystalline BaRu2Rh at its relaxed geometry.

E_form = 325 meV/atom
raw total energy = -53.1 eV per cell

Lattice parameters (Å, degrees): 7.640 4.409 6.277 90.00 113.84 90.00
Space group C2/m (No. 12)
Inequivalent atoms, fractional coordinates:
1 Ba 0.000 0.000 0.000 x2
2 Ru 0.185 0.000 0.557 x4
3 Rh 0.000 0.500 0.500 x2

---

The following is a DFT calculation (PBE-GGA) of crystalline BaRuRh2 at its relaxed geometry.

E_form = 843 meV/atom
raw total energy = -22.5 eV per cell

Lattice parameters (Å, degrees): 3.073 4.926 5.065 90.00 90.00 90.00
Space group Pmmm (No. 47)
Inequivalent atoms, fractional coordinates:
1 Ba 0.000 0.000 0.000 x1
2 Ru 0.500 0.000 0.500 x1
3 Rh 0.000 0.500 0.500 x1
4 Rh 0.500 0.500 0.000 x1

---

The following is a DFT calculation (PBE-GGA) of crystalline BaRuRh2 at its relaxed geometry.

E_form = 173 meV/atom
raw total energy = -75.6 eV per cell

Lattice parameters (Å, degrees): 4.4391 4.4391 16.9775 90.00 90.00 120.00
Space group R3m (No. 160, hexagonal axes)
Inequivalent atoms, fractional coordinates:
1 Ba 0.0000 0.0000 0.0000 x3
2 Ru 0.0000 0.0000 0.8152 x3
3 Rh 0.0000 0.0000 0.1867 x3
4 Rh 0.0000 0.0000 0.4961 x3

---

The following is a DFT calculation (PBE-GGA) of crystalline BaRu2Rh at its relaxed geometry.

E_form = 717 meV/atom
raw total energy = -99.8 eV per cell

Lattice parameters (Å, degrees): 4.812 4.812 17.832 90.00 90.00 90.00
Space group I4_1/amd (No. 141, origin choice 2)
Inequivalent atoms, fractional coordinates:
1 Ba 0.000 0.250 0.375 x4
2 Ru 0.000 0.000 0.000 x8
3 Rh 0.000 0.250 0.875 x4

---

The following is a DFT calculation (PBE-GGA) of crystalline BaRu3Rh at its relaxed geometry.

E_form = 1223 meV/atom
raw total energy = -31.0 eV per cell

Lattice parameters (Å, degrees): 4.826 4.826 4.826 90.00 90.00 90.00
Space group Pm-3m (No. 221)
Inequivalent atoms, fractional coordinates:
1 Ba 0.000 0.000 0.000 x1
2 Ru 0.000 0.500 0.500 x3
3 Rh 0.500 0.500 0.500 x1

---

The following is a DFT calculation (PBE-GGA) of crystalline BaRuRh2 at its relaxed geometry.

E_form = 650 meV/atom
raw total energy = -46.6 eV per cell

Lattice parameters (Å, degrees): 3.530 5.372 9.024 90.00 90.00 90.00
Space group Immm (No. 71)
Inequivalent atoms, fractional coordinates:
1 Ba 0.000 0.000 0.000 x2
2 Ru 0.000 0.000 0.500 x2
3 Rh 0.000 0.500 0.199 x4

---

The following is a DFT calculation (PBE-GGA) of crystalline Ba3RuRh at its relaxed geometry.

E_form = 545 meV/atom
raw total energy = -19.7 eV per cell

Lattice parameters (Å, degrees): 5.680 5.680 5.680 90.00 90.00 90.00
Space group Pm-3m (No. 221)
Inequivalent atoms, fractional coordinates:
1 Ba 0.000 0.000 0.500 x3
2 Ru 0.000 0.000 0.000 x1
3 Rh 0.500 0.500 0.500 x1

---

The following is a DFT calculation (PBE-GGA) of crystalline BaRu2Rh at its relaxed geometry.

E_form = 946 meV/atom
raw total energy = -96.2 eV per cell

Lattice parameters (Å, degrees): 6.765 6.765 6.765 90.00 90.00 90.00
Space group F-43m (No. 216)
Inequivalent atoms, fractional coordinates:
1 Ba 0.000 0.000 0.000 x4
2 Ru 0.000 0.000 0.500 x4
3 Ru 0.250 0.250 0.750 x4
4 Rh 0.250 0.250 0.250 x4

---

The following is a DFT calculation (PBE-GGA) of crystalline BaRu2Rh at its relaxed geometry.

E_form = 998 meV/atom
raw total energy = -71.5 eV per cell

Lattice parameters (Å, degrees): 2.9435 2.9435 29.8574 90.00 90.00 120.00
Space group R-3m (No. 166, hexagonal axes)
Inequivalent atoms, fractional coordinates:
1 Ba 0.0000 0.0000 0.0000 x3
2 Ru 0.0000 0.0000 0.2355 x6
3 Rh 0.0000 0.0000 0.5000 x3

---

The following is a DFT calculation (PBE-GGA) of crystalline BaRuRh2 at its relaxed geometry.

E_form = 764 meV/atom
raw total energy = -45.7 eV per cell

Lattice parameters (Å, degrees): 4.788 4.788 6.758 90.00 90.00 90.00
Space group I-4m2 (No. 119)
Inequivalent atoms, fractional coordinates:
1 Ba 0.000 0.000 0.000 x2
2 Ru 0.000 0.500 0.250 x2
3 Rh 0.000 0.000 0.500 x2
4 Rh 0.000 0.500 0.750 x2

---

The following is a DFT calculation (PBE-GGA) of crystalline BaRuRh2 at its relaxed geometry.

E_form = 726 meV/atom
raw total energy = -23.0 eV per cell

Lattice parameters (Å, degrees): 5.060 5.060 3.004 90.00 90.00 90.00
Space group P4/mmm (No. 123)
Inequivalent atoms, fractional coordinates:
1 Ba 0.000 0.000 0.000 x1
2 Ru 0.500 0.500 0.000 x1
3 Rh 0.000 0.500 0.500 x2

---

The following is a DFT calculation (PBE-GGA) of crystalline Ba2RuRh at its relaxed geometry.

E_form = 194 meV/atom
raw total energy = -39.4 eV per cell

Lattice parameters (Å, degrees): 4.371 4.724 13.987 90.00 90.00 90.00
Space group Imm2 (No. 44)
Inequivalent atoms, fractional coordinates:
1 Ba 0.000 0.000 0.000 x2
2 Ba 0.000 0.500 0.252 x2
3 Ru 0.000 0.500 0.845 x2
4 Rh 0.000 0.000 0.412 x2